Model one:
ZnGe3Cl: relaxed, GGA-PBE.

Its volume is 24.71 Å³ per atom. Its magnetization is 0.00 μB per cell.

The structure belongs to space group Pm-3m (No. 221); the cell edges are 4.9804, 4.9804 and 4.9804 Å and the angles 90.00°, 90.00° and 90.00°. The asymmetric unit holds Zn at (0.0000, 0.0000, 0.0000), Ge at (0.0000, 0.5000, 0.5000) and Cl at (0.5000, 0.5000, 0.5000).

***

Model two:
ZnGe3Cl: relaxed, GGA-PBE.

Its volume is 24.24 Å³ per atom. Its magnetization is 0.00 μB per cell.

The structure belongs to space group Pm-3m (No. 221); the cell edges are 4.9485, 4.9485 and 4.9485 Å and the angles 90.00°, 90.00° and 90.00°. The asymmetric unit holds Zn at (0.0000, 0.0000, 0.0000), Ge at (0.0000, 0.0000, 0.5000) and Cl at (0.5000, 0.5000, 0.5000).

***

Calculated relative energies: model one 284; model two 0, given in meV/atom

***

Model one:
ZrGe2Cl: relaxed, GGA-PBE.

Its volume is 20.50 Å³ per atom. Its magnetization is 0.00 μB per cell.

The structure belongs to space group Fm-3m (No. 225); the cell edges are 6.8966, 6.8966 and 6.8966 Å and the angles 90.00°, 90.00° and 90.00°. The asymmetric unit holds Zr at (0.0000, 0.0000, 0.0000), Ge at (0.2500, 0.2500, 0.2500) and Cl at (0.0000, 0.0000, 0.5000).

***

Model two:
ZrGe2Cl: relaxed, GGA-PBE.

Its volume is 19.90 Å³ per atom. Its magnetization is 0.00 μB per cell.

The structure belongs to space group I-42d (No. 122); the cell edges are 3.7632, 3.7632 and 22.4820 Å and the angles 90.00°, 90.00° and 90.00°. The asymmetric unit holds Zr at (0.0000, 0.0000, 0.0000), Ge at (0.2359, 0.2500, 0.1250) and Cl at (0.0000, 0.0000, 0.5000).

***

Calculated relative energies: model one 367; model two 0, given in meV/atom

***

Model one:
ZrGeCl2: relaxed, GGA-PBE.

Its volume is 30.55 Å³ per atom. Its magnetization is 3.98 μB per cell.

The structure belongs to space group I-42d (No. 122); the cell edges are 6.4839, 6.4839 and 11.6263 Å and the angles 90.00°, 90.00° and 90.00°. The asymmetric unit holds Zr at (0.0000, 0.0000, 0.0000), Ge at (0.0000, 0.0000, 0.5000) and Cl at (0.1802, 0.2500, 0.1250).

***

Model two:
ZrGeCl2: relaxed, GGA-PBE.

Its volume is 18.84 Å³ per atom. Its magnetization is 0.00 μB per cell.

The structure belongs to space group Fm-3m (No. 225); the cell edges are 6.7055, 6.7055 and 6.7055 Å and the angles 90.00°, 90.00° and 90.00°. The asymmetric unit holds Zr at (0.0000, 0.0000, 0.0000), Ge at (0.0000, 0.0000, 0.5000) and Cl at (0.2500, 0.2500, 0.2500).

***

Calculated relative energies: model one 296; model two 0, given in meV/atom

***

Model one:
Zr2GeCl: relaxed, GGA-PBE.

Its volume is 25.67 Å³ per atom. Its magnetization is 0.00 μB per cell.

The structure belongs to space group I-42d (No. 122); the cell edges are 5.5474, 5.5474 and 13.3473 Å and the angles 90.00°, 90.00° and 90.00°. The asymmetric unit holds Zr at (0.2390, 0.2500, 0.1250), Ge at (0.0000, 0.0000, 0.5000) and Cl at (0.0000, 0.0000, 0.0000).

***

Model two:
Zr2GeCl: relaxed, GGA-PBE.

Its volume is 18.93 Å³ per atom. Its magnetization is 0.00 μB per cell.

The structure belongs to space group Fm-3m (No. 225); the cell edges are 6.7159, 6.7159 and 6.7159 Å and the angles 90.00°, 90.00° and 90.00°. The asymmetric unit holds Zr at (0.2500, 0.2500, 0.2500), Ge at (0.0000, 0.0000, 0.0000) and Cl at (0.0000, 0.0000, 0.5000).

***

Calculated relative energies: model one 534; model two 0, given in meV/atom

***

Model one:
HCl3: relaxed, GGA-PBE.

Its volume is 18.87 Å³ per atom. Its magnetization is 0.00 μB per cell.

The structure belongs to space group R-3m (No. 166, hexagonal axes); the cell edges are 3.5452, 3.5452 and 20.8058 Å and the angles 90.00°, 90.00° and 120.00°. The asymmetric unit holds H at (0.0000, 0.0000, 0.0000), Cl at (0.0000, 0.0000, 0.3904) and Cl at (0.0000, 0.0000, 0.5000).

***

Model two:
HCl3: relaxed, GGA-PBE.

Its volume is 19.42 Å³ per atom. Its magnetization is 8.00 μB per cell.

The structure belongs to space group I-42d (No. 122); the cell edges are 5.8891, 5.8891 and 8.9611 Å and the angles 90.00°, 90.00° and 90.00°. The asymmetric unit holds H at (0.0000, 0.0000, 0.0000), Cl at (0.0000, 0.0000, 0.5000) and Cl at (0.1168, 0.2500, 0.1250).

***

Calculated relative energies: model one 0; model two 84, given in meV/atom

***

Model one:
HCl3: relaxed, GGA-PBE.

Its volume is 22.34 Å³ per atom. Its magnetization is 0.00 μB per cell.

The structure belongs to space group Immm (No. 71); the cell edges are 3.0910, 7.0484 and 8.2027 Å and the angles 90.00°, 90.00° and 90.00°. The asymmetric unit holds H at (0.0000, 0.0000, 0.0000), Cl at (0.0000, 0.3242, 0.5000) and Cl at (0.0000, 0.5000, 0.0000).

***

Model two:
HCl3: relaxed, GGA-PBE.

Its volume is 21.93 Å³ per atom. Its magnetization is 0.81 μB per cell.

The structure belongs to space group R-3m (No. 166, hexagonal axes); the cell edges are 3.0460, 3.0460 and 32.7594 Å and the angles 90.00°, 90.00° and 120.00°. The asymmetric unit holds H at (0.0000, 0.0000, 0.0000), Cl at (0.0000, 0.0000, 0.0476) and Cl at (0.0000, 0.0000, 0.5000).

***

Model three:
HCl3: relaxed, GGA-PBE.

Its volume is 32.18 Å³ per atom. Its magnetization is 0.00 μB per cell.

The structure belongs to space group P2_1/m (No. 11); the cell edges are 4.8906, 4.5109 and 11.7001 Å and the angles 90.00°, 94.22° and 90.00°. The asymmetric unit holds H at (0.0335, 0.2500, 0.1167), Cl at (0.1839, 0.2500, 0.6875), Cl at (0.2058, 0.7500, 0.3790) and Cl at (0.2797, 0.2500, 0.0847).

***

Model four:
HCl3: relaxed, GGA-PBE.

Its volume is 20.42 Å³ per atom. Its magnetization is 11.68 μB per cell.

The structure belongs to space group Fm-3m (No. 225); the cell edges are 6.8880, 6.8880 and 6.8880 Å and the angles 90.00°, 90.00° and 90.00°. The asymmetric unit holds H at (0.0000, 0.0000, 0.0000), Cl at (0.0000, 0.0000, 0.5000) and Cl at (0.2500, 0.2500, 0.2500).

***

Calculated relative energies: model one 695; model two 455; model three 0; model four 1422, given in meV/atom

***

Model one:
HCl2: relaxed, GGA-PBE.

Its volume is 22.39 Å³ per atom. Its magnetization is 0.00 μB per cell.

The structure belongs to space group C2/c (No. 15); the cell edges are 6.5400, 5.2902 and 8.4219 Å and the angles 90.00°, 112.77° and 90.00°. The asymmetric unit holds H at (0.0000, 0.1320, 0.2500) and Cl at (0.2401, 0.1320, 0.2500).

***

Model two:
HCl2: relaxed, GGA-PBE.

Its volume is 28.43 Å³ per atom. Its magnetization is 0.00 μB per cell.

The structure belongs to space group Cm (No. 8); the cell edges are 7.5138, 4.1990 and 11.1862 Å and the angles 90.00°, 104.87° and 90.00°. The asymmetric unit holds H at (0.0000, 0.0000, 0.0000), H at (0.1051, 0.0000, 0.5645), Cl at (0.0796, 0.5000, 0.3397), Cl at (0.1101, 0.0000, 0.9284), Cl at (0.2741, 0.0000, 0.6285) and Cl at (0.3991, 0.0000, 0.1717).

***

Calculated relative energies: model one 167; model two 0, given in meV/atom

***

Model one:
HfH3Cl: relaxed, GGA-PBE.

Its volume is 11.50 Å³ per atom. Its magnetization is 0.00 μB per cell.

The structure belongs to space group Pm-3m (No. 221); the cell edges are 3.8599, 3.8599 and 3.8599 Å and the angles 90.00°, 90.00° and 90.00°. The asymmetric unit holds Hf at (0.0000, 0.0000, 0.0000), H at (0.0000, 0.0000, 0.5000) and Cl at (0.5000, 0.5000, 0.5000).

***

Model two:
HfH3Cl: relaxed, GGA-PBE.

Its volume is 10.36 Å³ per atom. Its magnetization is 0.00 μB per cell.

The structure belongs to space group Pm-3m (No. 221); the cell edges are 3.7274, 3.7274 and 3.7274 Å and the angles 90.00°, 90.00° and 90.00°. The asymmetric unit holds Hf at (0.0000, 0.0000, 0.0000), H at (0.0000, 0.5000, 0.5000) and Cl at (0.5000, 0.5000, 0.5000).

***

Calculated relative energies: model one 0; model two 1356, given in meV/atom